No. 1
PBEsol LiIrOs2, optimized geometry; SG = P4/mmm (123); energy of formation = 497 meV/atom; DOS(E_F) = 1.084 states/eV/atom; size of the total moment = 0.0 μB per formula unit; E above lowest polymorph = 224 meV per atom; volume = 13.58 Å³/atom
1.0
2.707 0.000 0.000
0.000 4.480 0.000
0.000 0.000 4.480
Li Os Ir
1 2 1
direct
0.500 0.000 0.000 Li
0.000 0.500 0.000 Os
0.000 0.000 0.500 Os
0.500 0.500 0.500 Ir


No. 2
PBEsol LiIrOs2, optimized geometry; SG = Imm2 (44); energy of formation = 273 meV/atom; DOS(E_F) = 0.805 states/eV/atom; size of the total moment = 0.0 μB per formula unit; E above lowest polymorph = 0 meV per atom; volume = 12.86 Å³/atom
1.0
-1.180 1.871 -1.759
-3.243 -2.799 -0.802
0.034 2.077 4.457
Ir Os Li
1 2 1
direct
0.479 0.479 0.959 Ir
0.253 0.753 0.505 Os
0.017 0.017 0.033 Os
0.751 0.251 0.503 Li


No. 3
PBEsol Li3IrOs, optimized geometry; SG = Pm-3m (221); energy of formation = 1844 meV/atom; DOS(E_F) = 1.724 states/eV/atom; size of the total moment = 0.8 μB per formula unit; volume = 15.64 Å³/atom
1.0
4.276 0.000 0.000
0.000 4.276 0.000
0.000 0.000 4.276
Ir Li Os
1 3 1
direct
0.500 0.500 0.500 Ir
0.500 0.000 0.000 Li
0.000 0.500 0.000 Li
0.000 0.000 0.500 Li
0.000 0.000 0.000 Os


No. 4
PBEsol Li2IrOs, optimized geometry; SG = F-43m (216); energy of formation = 51 meV/atom; DOS(E_F) = 0.727 states/eV/atom; size of the total moment = 0.0 μB per formula unit; E above lowest polymorph = 31 meV per atom; volume = 12.60 Å³/atom
1.0
-3.656 1.141 -1.587
-2.181 -2.666 -2.308
-3.507 -1.640 1.484
Li Ir Os
2 1 1
direct
0.000 0.000 0.000 Li
0.750 0.750 0.750 Li
0.500 0.500 0.500 Ir
0.250 0.250 0.250 Os


No. 5
PBEsol LiIr2Os, optimized geometry; SG = P2/m (10); energy of formation = 75 meV/atom; DOS(E_F) = 0.759 states/eV/atom; size of the total moment = 0.0 μB per formula unit; E above lowest polymorph = 0 meV per atom; volume = 13.14 Å³/atom
1.0
2.657 0.000 -0.036
0.000 3.981 0.000
-1.098 0.000 4.986
Os Li Ir
1 1 2
direct
0.500 0.500 0.500 Os
0.500 0.500 0.000 Li
0.112 0.000 0.761 Ir
0.888 0.000 0.239 Ir


No. 6
PBEsol LiIrOs2Ru, optimized geometry; SG = P4/mmm (123); energy of formation = 2032 meV/atom; DOS(E_F) = 1.325 states/eV/atom; size of the total moment = 2.8 μB per formula unit; volume = 17.74 Å³/atom
1.0
-0.639 3.785 1.519
-4.571 -0.556 -0.537
-0.288 -1.765 4.277
Os Li Ru Ir
2 1 1 1
direct
0.000 0.000 0.500 Os
0.000 0.500 0.000 Os
0.500 0.000 0.000 Li
0.500 0.500 0.500 Ru
0.000 0.000 0.000 Ir


No. 7
PBEsol Li2P2Ir, optimized geometry; SG = P4/mbm (127); energy of formation = -777 meV/atom; DOS(E_F) = 0.170 states/eV/atom; size of the total moment = 0.0 μB per formula unit; volume = 14.17 Å³/atom
1.0
-1.254 3.906 -0.380
-1.338 -0.978 -5.627
-5.425 -1.590 1.566
P Ir Li
4 2 4
direct
0.000 0.869 0.631 P
0.000 0.631 0.131 P
0.000 0.131 0.369 P
0.000 0.369 0.869 P
0.000 0.000 0.000 Ir
0.000 0.500 0.500 Ir
0.500 0.182 0.682 Li
0.500 0.818 0.318 Li
0.500 0.318 0.182 Li
0.500 0.682 0.818 Li


No. 8
PBEsol LiPIr3, optimized geometry; SG = Pm-3m (221); energy of formation = 392 meV/atom; DOS(E_F) = 0.639 states/eV/atom; size of the total moment = 0.0 μB per formula unit; E above lowest polymorph = 0 meV per atom; volume = 16.44 Å³/atom
1.0
-1.195 -1.709 -3.815
3.772 -2.152 -0.218
-1.802 -3.370 2.074
P Li Ir
1 1 3
direct
0.000 0.000 0.000 P
0.500 0.500 0.500 Li
0.000 0.500 0.000 Ir
0.500 0.000 0.000 Ir
0.000 0.000 0.500 Ir


No. 9
PBEsol LiPIr2, optimized geometry; SG = Cm (8); energy of formation = -295 meV/atom; DOS(E_F) = 0.455 states/eV/atom; size of the total moment = 0.0 μB per formula unit; volume = 12.54 Å³/atom
1.0
-0.985 2.657 -0.125
-2.674 -1.144 -3.238
-1.571 -1.920 3.757
Ir Li P
2 1 1
direct
0.999 0.928 0.998 Ir
0.750 0.345 0.499 Ir
0.496 0.441 0.992 Li
0.256 0.787 0.511 P


No. 10
PBEsol LiPIr3, optimized geometry; SG = Pm-3m (221); energy of formation = 1143 meV/atom; DOS(E_F) = 0.471 states/eV/atom; size of the total moment = 0.0 μB per formula unit; E above lowest polymorph = 751 meV per atom; volume = 13.51 Å³/atom
1.0
4.072 0.000 0.000
0.000 4.072 0.000
0.000 0.000 4.072
P Li Ir
1 1 3
direct
0.500 0.500 0.500 P
0.000 0.000 0.000 Li
0.000 0.500 0.000 Ir
0.000 0.000 0.500 Ir
0.500 0.000 0.000 Ir


No. 11
PBEsol LiIrPb2, optimized geometry; SG = R-3m (166); energy of formation = 173 meV/atom; DOS(E_F) = 1.011 states/eV/atom; size of the total moment = 0.0 μB per formula unit; E above lowest polymorph = 93 meV per atom; volume = 21.62 Å³/atom
1.0
3.402 0.000 0.000
1.701 2.946 0.000
1.701 0.982 8.626
Pb Ir Li
2 1 1
direct
0.243 0.243 0.271 Pb
0.757 0.757 0.729 Pb
0.500 0.500 0.500 Ir
0.000 0.000 0.000 Li


No. 12
PBEsol LiIr2Pb, optimized geometry; SG = Cm (8); energy of formation = 227 meV/atom; DOS(E_F) = 0.772 states/eV/atom; size of the total moment = 0.0 μB per formula unit; volume = 16.26 Å³/atom
1.0
-1.127 -0.635 -2.618
2.619 -3.606 1.375
-4.383 -1.348 2.214
Li Pb Ir
1 1 2
direct
0.493 0.986 0.475 Li
0.255 0.510 0.738 Pb
0.745 0.490 0.237 Ir
0.007 0.014 0.049 Ir


No. 13
PBEsol LiIrPb2, optimized geometry; SG = P4/mmm (123); energy of formation = 79 meV/atom; DOS(E_F) = 0.871 states/eV/atom; size of the total moment = 0.0 μB per formula unit; E above lowest polymorph = 0 meV per atom; volume = 20.72 Å³/atom
1.0
-3.139 1.196 -0.329
-1.225 -3.129 0.316
-0.416 0.892 7.209
Li Pb Ir
1 2 1
direct
0.500 0.500 0.500 Li
0.000 0.000 0.773 Pb
0.000 0.000 0.227 Pb
0.500 0.500 0.000 Ir


No. 14
PBEsol Li2IrPb, optimized geometry; SG = P4mm (99); energy of formation = -21 meV/atom; DOS(E_F) = 0.359 states/eV/atom; size of the total moment = 0.0 μB per formula unit; volume = 16.43 Å³/atom
1.0
-1.456 -1.481 -2.561
-1.224 -2.297 2.025
-4.936 3.381 0.850
Pb Ir Li
1 1 2
direct
0.000 0.000 0.517 Pb
0.500 0.500 0.776 Ir
0.000 0.000 0.985 Li
0.500 0.500 0.221 Li


No. 15
PBEsol Li2IrPb, optimized geometry; SG = I4/mmm (139); energy of formation = -67 meV/atom; DOS(E_F) = 0.460 states/eV/atom; size of the total moment = 0.0 μB per formula unit; volume = 15.93 Å³/atom
1.0
3.918 0.000 0.000
0.000 3.918 0.000
-1.959 -1.959 4.152
Li Ir Pb
2 1 1
direct
0.750 0.250 0.500 Li
0.250 0.750 0.500 Li
0.500 0.500 0.000 Ir
0.000 0.000 0.000 Pb


No. 16
PBEsol LiIr2Pb, optimized geometry; SG = P4/mmm (123); energy of formation = 192 meV/atom; DOS(E_F) = 0.878 states/eV/atom; size of the total moment = 0.0 μB per formula unit; volume = 15.55 Å³/atom
1.0
3.947 0.000 0.000
0.000 3.969 0.000
0.000 0.000 3.969
Pb Ir Li
1 2 1
direct
0.500 0.000 0.000 Pb
0.000 0.000 0.500 Ir
0.000 0.500 0.000 Ir
0.500 0.500 0.500 Li


No. 17
PBEsol LiIrPb2, optimized geometry; SG = F-43m (216); energy of formation = 326 meV/atom; DOS(E_F) = 0.556 states/eV/atom; size of the total moment = 0.0 μB per formula unit; E above lowest polymorph = 247 meV per atom; volume = 20.49 Å³/atom
1.0
4.876 0.000 0.000
2.438 4.223 0.000
2.438 1.408 3.981
Ir Pb Li
1 2 1
direct
0.500 0.500 0.500 Ir
0.000 0.000 0.000 Pb
0.750 0.750 0.750 Pb
0.250 0.250 0.250 Li


No. 18
PBEsol LiIrPb, optimized geometry; SG = F-43m (216); energy of formation = 153 meV/atom; DOS(E_F) = 0.451 states/eV/atom; size of the total moment = 0.0 μB per formula unit; volume = 19.99 Å³/atom
1.0
4.394 0.000 0.000
2.197 3.805 0.000
2.197 1.268 3.587
Ir Li Pb
1 1 1
direct
0.250 0.250 0.250 Ir
0.000 0.000 0.000 Li
0.500 0.500 0.500 Pb


No. 19
PBEsol LiIrPb4, optimized geometry; SG = F-43m (216); energy of formation = 720 meV/atom; DOS(E_F) = 0.385 states/eV/atom; size of the total moment = 0.0 μB per formula unit; volume = 27.17 Å³/atom
1.0
6.131 0.000 0.000
3.066 5.310 0.000
3.066 1.770 5.006
Pb Ir Li
4 1 1
direct
0.376 0.376 0.376 Pb
0.376 0.872 0.376 Pb
0.872 0.376 0.376 Pb
0.376 0.376 0.872 Pb
0.750 0.750 0.750 Ir
0.000 0.000 0.000 Li


No. 20
PBEsol LiIrPb2, optimized geometry; SG = Amm2 (38); energy of formation = 81 meV/atom; DOS(E_F) = 0.643 states/eV/atom; size of the total moment = 0.0 μB per formula unit; E above lowest polymorph = 1 meV per atom; volume = 19.93 Å³/atom
1.0
-1.205 3.484 0.541
-3.898 -1.128 -1.423
-0.747 -2.930 4.369
Ir Pb Li
1 2 1
direct
0.694 0.000 0.389 Ir
0.271 0.500 0.541 Pb
0.985 0.000 0.970 Pb
0.552 0.500 0.103 Li


No. 21
PBEsol LiIr2Pb2, optimized geometry; SG = I4/mmm (139); energy of formation = 360 meV/atom; DOS(E_F) = 0.450 states/eV/atom; size of the total moment = 0.0 μB per formula unit; volume = 22.71 Å³/atom
1.0
4.720 0.000 0.000
0.000 4.720 0.000
-2.360 -2.360 5.097
Li Pb Ir
1 2 2
direct
0.000 0.000 0.000 Li
0.750 0.250 0.500 Pb
0.250 0.750 0.500 Pb
0.617 0.617 0.234 Ir
0.383 0.383 0.766 Ir


No. 22
PBEsol LiIrPd2, optimized geometry; SG = Fm-3m (225); energy of formation = 96 meV/atom; DOS(E_F) = 1.607 states/eV/atom; size of the total moment = 1.0 μB per formula unit; E above lowest polymorph = 0 meV per atom; volume = 14.02 Å³/atom
1.0
-1.719 -0.608 3.890
1.969 -2.548 2.845
1.879 1.702 3.469
Pd Ir Li
2 1 1
direct
0.250 0.250 0.250 Pd
0.750 0.750 0.750 Pd
0.500 0.500 0.500 Ir
0.000 0.000 0.000 Li


No. 23
PBEsol LiIrPd3, optimized geometry; SG = Pm-3m (221); energy of formation = 646 meV/atom; DOS(E_F) = 1.582 states/eV/atom; size of the total moment = 0.0 μB per formula unit; volume = 13.72 Å³/atom
1.0
4.094 0.000 0.000
0.000 4.094 0.000
0.000 0.000 4.094
Ir Pd Li
1 3 1
direct
0.500 0.500 0.500 Ir
0.000 0.500 0.000 Pd
0.500 0.000 0.000 Pd
0.000 0.000 0.500 Pd
0.000 0.000 0.000 Li


No. 24
PBEsol LiIr3Pd, optimized geometry; SG = Pm-3m (221); energy of formation = 1014 meV/atom; DOS(E_F) = 1.337 states/eV/atom; size of the total moment = 0.0 μB per formula unit; volume = 13.44 Å³/atom
1.0
4.066 0.000 0.000
0.000 4.066 0.000
0.000 0.000 4.066
Ir Li Pd
3 1 1
direct
0.500 0.000 0.000 Ir
0.000 0.500 0.000 Ir
0.000 0.000 0.500 Ir
0.000 0.000 0.000 Li
0.500 0.500 0.500 Pd


No. 25
PBEsol LiIrPd2, optimized geometry; SG = I-42d (122); energy of formation = 402 meV/atom; DOS(E_F) = 1.084 states/eV/atom; size of the total moment = 0.0 μB per formula unit; E above lowest polymorph = 306 meV per atom; volume = 14.85 Å³/atom
1.0
3.696 0.000 0.000
0.000 3.696 0.000
-1.848 -1.848 8.698
Li Pd Ir
2 4 2
direct
0.750 0.250 0.500 Li
0.500 0.500 0.000 Li
0.625 0.624 0.750 Pd
0.125 0.126 0.750 Pd
0.376 0.875 0.250 Pd
0.874 0.375 0.250 Pd
0.250 0.750 0.500 Ir
0.000 0.000 0.000 Ir


No. 26
PBEsol LiPm2Ir, optimized geometry; SG = Fm-3m (225); energy of formation = -407 meV/atom; DOS(E_F) = 0.593 states/eV/atom; size of the total moment = 0.0 μB per formula unit; volume = 21.78 Å³/atom
1.0
-0.145 3.195 -3.812
-0.419 -1.701 -4.658
-4.236 0.673 -2.523
Pm Li Ir
2 1 1
direct
0.750 0.750 0.750 Pm
0.250 0.250 0.250 Pm
0.000 0.000 0.000 Li
0.500 0.500 0.500 Ir


No. 27
PBEsol LiIrPt4, optimized geometry; SG = F-43m (216); energy of formation = 271 meV/atom; DOS(E_F) = 1.565 states/eV/atom; size of the total moment = 1.4 μB per formula unit; volume = 16.07 Å³/atom
1.0
-0.554 -5.074 -0.662
3.803 -2.750 -2.113
2.714 -3.283 2.889
Ir Pt Li
1 4 1
direct
0.750 0.750 0.750 Ir
0.875 0.375 0.375 Pt
0.375 0.375 0.875 Pt
0.375 0.875 0.375 Pt
0.375 0.375 0.375 Pt
0.000 0.000 0.000 Li


No. 28
PBEsol LiIrPt2, optimized geometry; SG = Cmmm (65); energy of formation = -355 meV/atom; DOS(E_F) = 0.584 states/eV/atom; size of the total moment = 0.0 μB per formula unit; E above lowest polymorph = 0 meV per atom; volume = 13.85 Å³/atom
1.0
2.688 0.000 0.000
0.000 4.674 -0.018
0.000 -1.533 4.416
Pt Li Ir
2 1 1
direct
0.000 0.000 0.500 Pt
0.000 0.500 0.000 Pt
0.500 0.500 0.500 Li
0.500 0.000 0.000 Ir


No. 29
PBEsol LiIrPt2, optimized geometry; SG = F-43m (216); energy of formation = 75 meV/atom; DOS(E_F) = 1.664 states/eV/atom; size of the total moment = 0.0 μB per formula unit; E above lowest polymorph = 429 meV per atom; volume = 14.05 Å³/atom
1.0
4.299 0.000 0.000
2.150 3.723 0.000
2.150 1.241 3.510
Ir Pt Li
1 2 1
direct
0.500 0.500 0.500 Ir
0.000 0.000 0.000 Pt
0.750 0.750 0.750 Pt
0.250 0.250 0.250 Li


No. 30
PBEsol Li2IrPt, optimized geometry; SG = Cm (8); energy of formation = -331 meV/atom; DOS(E_F) = 0.448 states/eV/atom; size of the total moment = 0.0 μB per formula unit; E above lowest polymorph = 44 meV per atom; volume = 13.37 Å³/atom
1.0
2.615 0.000 0.000
0.000 4.704 0.013
-1.308 -2.284 4.342
Li Pt Ir
2 1 1
direct
0.994 0.089 0.987 Li
0.758 0.161 0.516 Li
0.505 0.610 0.010 Pt
0.244 0.640 0.487 Ir